Entry 1:
A relaxed structure of Y2IrI. Source: the Alexandria database, functional PBE.

POSCAR file:
```
Y2IrI
1.0
-3.481 3.481 6.110
3.481 -3.481 6.110
3.481 3.481 -6.110
Y Ir I
4 2 2
direct
0.056 0.625 0.931 Y
0.375 0.306 0.431 Y
0.694 0.125 0.069 Y
0.875 0.944 0.569 Y
0.000 0.000 0.000 Ir
0.750 0.250 0.500 Ir
0.250 0.750 0.500 I
0.500 0.500 0.000 I
```

Output
Magnetization (μB/f.u.): 0.00
Total DFT energy (no corrections) (eV per atom): -6.174
DOS(E_F) (states/eV/atom): 0.359
Uncorrected formation energy (meV/atom): -340
ΔE to the lowest computed polymorph (kJ/mol of formula units): 234

Entry 2:
A relaxed structure of NaMgCd2Pd. Source: the Alexandria database, functional PBE.

POSCAR file:
```
NaMgCd2Pd
1.0
5.261 0.000 0.000
0.000 5.261 0.000
0.000 0.000 4.974
Na Mg Cd Pd
1 1 2 1
direct
0.000 0.000 0.000 Na
0.500 0.500 0.000 Mg
0.000 0.500 0.500 Cd
0.500 0.000 0.500 Cd
0.500 0.500 0.500 Pd
```

Output
Magnetization (μB/f.u.): 0.00
Total DFT energy (no corrections) (eV per atom): -2.131
DOS(E_F) (states/eV/atom): 0.412

Entry 3:
A relaxed structure of Fe3GeI. Source: the Alexandria database, functional PBE.

POSCAR file:
```
Fe3GeI
1.0
4.681 0.000 0.000
0.000 4.681 0.000
0.000 0.000 4.681
Fe Ge I
3 1 1
direct
0.000 0.000 0.500 Fe
0.000 0.500 0.000 Fe
0.500 0.000 0.000 Fe
0.500 0.500 0.500 Ge
0.000 0.000 0.000 I
```

Output
Magnetization (μB/f.u.): 6.13
Total DFT energy (no corrections) (eV per atom): -4.794
DOS(E_F) (states/eV/atom): 1.571
Uncorrected formation energy (meV/atom): 1517